Record 1
18
Lattice="-2.2142 1.6077 -5.3985 -5.4287 -4.5190 0.8809 -3.9561 5.6973 4.8471" Properties=species:S:1:pos:R:3 comment="K2TlF6 PBE relaxed" e_form_raw_ev_per_atom=-2.05 total_magnetization_mub_per_cell=2.032 final_energy_ev_per_cell=-68.50 pbc="T T T"
K -7.2898 3.8001 -1.1222
K -9.2685 1.0783 1.4800
K -2.3305 1.7077 -1.1506
K -4.3092 -1.0142 1.4516
Tl -3.8215 -1.4557 -2.2588
Tl -1.9781 2.8486 2.4235
F -7.9987 -1.3501 -2.5841
F -8.2136 1.2694 -1.1645
F -9.1061 3.8125 0.9466
F -4.5149 3.5110 -1.0654
F -6.4333 5.2001 1.2122
F -4.7108 0.4419 -1.8877
F -3.6003 4.1361 2.9135
F -3.3854 1.5165 1.4939
F -2.4929 -1.0265 -0.6172
F -7.0841 -0.7250 1.3948
F -5.1657 -2.4141 -0.8827
F -6.8882 2.3440 2.2172



Record 2
4
Lattice="-1.6415 1.4793 2.6441 -1.5624 -2.9899 0.7028 6.8655 -2.2853 5.5405" Properties=species:S:1:pos:R:3 comment="K2TlF PBE relaxed" e_form_raw_ev_per_atom=-1.26 total_magnetization_mub_per_cell=0.000 final_energy_ev_per_cell=-11.49 pbc="T T T"
Tl 1.8308 -1.8980 4.4437
K 5.6612 -1.8845 4.5687
K 1.2043 -0.4009 0.9719
F -1.6019 -0.7553 1.6735



Record 3
10
Lattice="5.4736 0.0000 0.0000 2.7368 6.1188 0.0000 2.7368 0.0000 6.1188" Properties=species:S:1:pos:R:3 comment="K4TlF5 PBE relaxed" e_form_raw_ev_per_atom=-2.53 total_magnetization_mub_per_cell=0.000 final_energy_ev_per_cell=-41.43 pbc="T T T"
K 5.4760 2.4690 4.9020
K 8.2128 4.9020 3.6498
K 2.7391 1.2168 2.4690
K 5.4760 3.6498 1.2168
Tl 0.0072 0.0000 0.0000
F 8.2112 2.5120 4.8711
F 5.4744 4.8711 3.6067
F 5.4744 1.2477 2.5120
F 2.7375 3.6067 1.2477
F 2.7739 0.0000 0.0000



Record 4
4
Lattice="-2.7091 -0.0068 4.8263 -4.2209 3.4874 0.8092 -5.1781 -1.9365 0.2642" Properties=species:S:1:pos:R:3 comment="KTl2F PBE relaxed" e_form_raw_ev_per_atom=-0.48 total_magnetization_mub_per_cell=0.000 final_energy_ev_per_cell=-9.63 pbc="T T T"
Tl -3.0270 0.3860 1.4749
Tl -9.0810 1.1580 4.4248
K -6.0540 0.7720 2.9498
F 0.0000 0.0000 0.0000



Calculated calculated volume, 19.988 27.053 20.493 29.971 Å³ per atom (same order as the records).
Calculated density of states at the Fermi level, 0.6809 0.4797 0.0000 1.1828 states/eV/atom (same order as the records).
Calculated density, 3661 4628 3693 6467 kg/m³ (same order as the records).